The following is a PBE-GGA calculation of an optimized crystal structure of ErAsSe, from Alexandria.

Geometry as CIF:
```
data_ErAsSe
_chemical_formula_sum 'Er4 As4 Se4'
_space_group_name_H-M_alt 'P n m a'
_space_group_IT_number 62
_space_group_name_Hall '-P 2ac 2n'
_cell_length_a 17.4110
_cell_length_b 3.8871
_cell_length_c 3.9252
_cell_angle_alpha 90.00
_cell_angle_beta 90.00
_cell_angle_gamma 90.00
loop_
_atom_site_label
_atom_site_fract_x
_atom_site_fract_y
_atom_site_fract_z
Er1 0.1397 0.2500 0.2348
As1 0.0019 0.2500 0.7142
Se1 0.1880 0.7500 0.7369
```

Results
Formation energy without anion corrections: -1.420 eV per atom
Spin magnetization: 0.00 μB/cell